Material: Ho4AgPd3
Method: DFT, PBE
State: optimized geometry

Lattice parameters (Å, degrees): 4.958 4.958 7.116 90.00 90.00 90.00
Space group P4/mmm (No. 123)
Unique sites:
Ho (0.000, 0.500, 0.243) x4
Ag (0.000, 0.000, 0.500) x1
Pd (0.000, 0.000, 0.000) x1
Pd (0.500, 0.500, 0.000) x1
Pd (0.500, 0.500, 0.500) x1

Its relative energy among the computed polymorphs is 24 meV/atom. As for the density of states at the Fermi level: 4.99 states/eV/cell. The formation energy is -751 meV per atom.